# 1
A geometry-optimized CdBSI2 structure, computed with GGA-PBEsol.

Values from the calculation:
SG ... P4/mmm (123)
Formation energy (no corrections) ... 1.13 eV/atom
Calculated density ... 4202 kg/m3
D(E_F) ... 4.2 states/eV/f.u.

Lattice parameters (Å, degrees): 5.7920 5.7920 4.8196 90.00 90.00 90.00
Last column: nearest neighbours and their distance in Å.
Atoms (fractional coordinates):
Cd1 0.0000 0.0000 0.0000  2 S 2.41
B1 0.5000 0.5000 0.5000  8 I 3.77, 4 S 4.10
S1 0.0000 0.0000 0.5000  2 Cd 2.41
I1 0.0000 0.5000 0.0000  2 Cd 2.90
I2 0.5000 0.0000 0.0000  2 Cd 2.90

# 2
A geometry-optimized La2I3N structure, computed with GGA-PBEsol.

Values from the calculation:
SG ... C2/m (12)
Formation energy (no corrections) ... -1.59 eV/atom
Calculated density ... 5557 kg/m3

Lattice parameters (Å, degrees): 9.6166 9.6166 12.2073 121.42 121.42 24.90
Last column: nearest neighbours and their distance in Å.
Atoms (fractional coordinates):
La1 0.0776 0.0776 0.4586  2 N 2.36-2.37
La2 0.3684 0.3684 0.2231  2 N 2.49
La3 0.6316 0.6316 0.7769  2 N 2.49
La4 0.9224 0.9224 0.5414  2 N 2.36-2.37
I1 0.1614 0.1614 0.0094  3 La 3.31-3.33
I2 0.2700 0.2700 0.3756  3 La 3.22-3.25
I3 0.4543 0.4543 0.7644  3 La 3.21-3.25
I4 0.5457 0.5457 0.2356  3 La 3.21-3.25
I5 0.7300 0.7300 0.6244  3 La 3.22-3.25
I6 0.8386 0.8386 0.9906  3 La 3.31-3.33
N1 0.0702 0.0702 0.6462  4 La 2.36-2.49
N2 0.9298 0.9298 0.3538  4 La 2.36-2.49

# 3
A geometry-optimized ZnCd structure, computed with GGA-PBEsol.

Values from the calculation:
Formation enthalpy at 0 K ... 79 meV per atom
SG ... Pmmn (59)
Calculated density ... 8270 kg/m3
D(E_F) ... 0.5 states/eV/f.u.

Lattice parameters (Å, degrees): 2.7977 5.3055 4.8106 90.00 90.00 90.00
Last column: nearest neighbours and their distance in Å.
Atoms (fractional coordinates):
Zn1 0.2500 0.2500 0.0880  6 Cd 2.76-3.06, 2 Zn 2.80
Zn2 0.7500 0.7500 0.9120  6 Cd 2.76-3.06, 2 Zn 2.80
Cd1 0.2500 0.7500 0.4061  6 Zn 2.76-3.06, 2 Cd 2.80
Cd2 0.7500 0.2500 0.5939  6 Zn 2.76-3.06, 2 Cd 2.80

# 4
A geometry-optimized Fe2CoIr structure, computed with GGA-PBEsol.

Values from the calculation:
Formation enthalpy at 0 K ... 5 meV per atom
SG ... I4/mmm (139)
Calculated density ... 13435 kg/m3
D(E_F) ... 4.9 states/eV/f.u.

Lattice parameters (Å, degrees): 4.3622 4.3622 4.3622 132.06 132.06 70.13
Last column: nearest neighbours and their distance in Å.
Atoms (fractional coordinates):
Fe1 0.2500 0.7500 0.5000  4 Fe 2.51, 4 Ir 2.52, 4 Co 2.52
Fe2 0.7500 0.2500 0.5000  4 Fe 2.51, 4 Ir 2.52, 4 Co 2.52
Co1 0.0000 0.0000 0.0000  4 Ir 2.51, 8 Fe 2.52
Ir1 0.5000 0.5000 0.0000  4 Co 2.51, 8 Fe 2.52

# 5
A geometry-optimized FeAgOs2 structure, computed with GGA-PBEsol.

Values from the calculation:
Distance to the lowest polymorph of the same formula ... 0.131 eV/atom
Formation enthalpy at 0 K ... 472 meV per atom
SG ... P4/mmm (123)
Calculated density ... 16540 kg/m3
D(E_F) ... 4.1 states/eV/f.u.

Lattice parameters (Å, degrees): 2.6512 2.6512 7.7722 90.00 90.00 90.00
Last column: nearest neighbours and their distance in Å.
Atoms (fractional coordinates):
Fe1 0.0000 0.0000 0.0000  8 Os 2.54, 4 Fe 2.65
Ag1 0.0000 0.0000 0.5000  4 Ag 2.65, 8 Os 2.87
Os1 0.5000 0.5000 0.2203  4 Fe 2.54, 4 Os 2.65
Os2 0.5000 0.5000 0.7797  4 Fe 2.54, 4 Os 2.65

# 6
A geometry-optimized KHgPb2 structure, computed with GGA-PBEsol.

Values from the calculation:
Formation enthalpy at 0 K ... -84 meV per atom
SG ... I-4m2 (119)
Calculated density ... 9322 kg/m3
D(E_F) ... 2.9 states/eV/f.u.

Lattice parameters (Å, degrees): 5.4982 5.4982 5.4982 120.57 120.57 89.02
Last column: nearest neighbours and their distance in Å.
Atoms (fractional coordinates):
K1 0.0000 0.0000 0.0000  4 Pb 3.36, 4 Hg 3.36
Hg1 0.2500 0.7500 0.5000  4 Pb 3.36, 4 K 3.36
Pb1 0.5000 0.5000 0.0000  4 Hg 3.36, 4 Pb 3.36
Pb2 0.7500 0.2500 0.5000  4 Pb 3.36, 4 K 3.36

# 7
A geometry-optimized Ho2IrAu structure, computed with GGA-PBEsol.

Values from the calculation:
Formation enthalpy at 0 K ... -846 meV per atom
SG ... Fm-3m (225)
Calculated density ... 14703 kg/m3
D(E_F) ... 2.0 states/eV/f.u.

Lattice parameters (Å, degrees): 4.8607 4.8607 4.8607 60.00 60.00 60.00
Last column: nearest neighbours and their distance in Å.
Atoms (fractional coordinates):
Ho1 0.2500 0.2500 0.2500  4 Ir 2.98, 4 Au 2.98
Ho2 0.7500 0.7500 0.7500  4 Ir 2.98, 4 Au 2.98
Ir1 0.0000 0.0000 0.0000  8 Ho 2.98
Au1 0.5000 0.5000 0.5000  8 Ho 2.98

# 8
A geometry-optimized BaS4O13 structure, computed with GGA-PBEsol.

Values from the calculation:
SG ... C2/c (15)
Formation energy (no corrections) ... -1.54 eV/atom
Calculated density ... 2964 kg/m3
D(E_F) ... 0.0 states/eV/f.u.

Lattice parameters (Å, degrees): 7.6000 7.6000 9.5728 95.30 95.30 103.89
Last column: nearest neighbours and their distance in Å.
Atoms (fractional coordinates):
Ba1 0.1973 0.8027 0.7500  10 O 2.72-2.94
Ba2 0.8027 0.1973 0.2500  10 O 2.72-2.94
S1 0.1892 0.2864 0.5844  3 O 1.44
S2 0.2350 0.5662 0.1175  3 O 1.43-1.53
S3 0.2864 0.1892 0.0844  3 O 1.44
S4 0.4338 0.7650 0.3825  3 O 1.43-1.53
S5 0.5662 0.2350 0.6175  3 O 1.43-1.53
S6 0.7136 0.8108 0.9156  3 O 1.44
S7 0.7650 0.4338 0.8825  3 O 1.43-1.53
S8 0.8108 0.7136 0.4156  3 O 1.44
O1 0.0648 0.5049 0.1721  1 S 1.43
O2 0.1017 0.2974 0.4469  1 S 1.44
O3 0.1145 0.1406 0.1403  1 S 1.44
O4 0.1406 0.1145 0.6403  1 S 1.44
O5 0.2303 0.4487 0.6835  1 S 1.44
O6 0.2624 0.7225 0.0420  1 S 1.43
O7 0.2775 0.7376 0.4580  1 S 1.43
O8 0.2924 0.4149 0.0304  1 S 1.53
O9 0.2974 0.1017 0.9469  1 S 1.44
O10 0.3969 0.6031 0.2500  2 S 1.64
O11 0.4149 0.2924 0.5304  1 S 1.53
O12 0.4487 0.2303 0.1835  1 S 1.44
O13 0.4951 0.9352 0.3279  1 S 1.43
O14 0.5049 0.0648 0.6721  1 S 1.43
O15 0.5513 0.7697 0.8165  1 S 1.44
O16 0.5851 0.7076 0.4696  1 S 1.53
O17 0.6031 0.3969 0.7500  2 S 1.64
O18 0.7026 0.8983 0.0531  1 S 1.44
O19 0.7076 0.5851 0.9696  1 S 1.53
O20 0.7225 0.2624 0.5420  1 S 1.43
O21 0.7376 0.2775 0.9580  1 S 1.43
O22 0.7697 0.5513 0.3165  1 S 1.44
O23 0.8594 0.8855 0.3597  1 S 1.44
O24 0.8855 0.8594 0.8597  1 S 1.44
O25 0.8983 0.7026 0.5531  1 S 1.44
O26 0.9352 0.4951 0.8279  1 S 1.43

# 9
A geometry-optimized AlAg2Mo structure, computed with GGA-PBEsol.

Values from the calculation:
Formation enthalpy at 0 K ... 211 meV per atom
SG ... R-3m (166)
Calculated density ... 8962 kg/m3
D(E_F) ... 1.9 states/eV/f.u.

Lattice parameters (Å, degrees): 9.4641 9.4641 9.4641 16.94 16.94 16.94
Last column: nearest neighbours and their distance in Å.
Atoms (fractional coordinates):
Al1 0.0000 0.0000 0.0000  6 Ag 2.76, 6 Al 2.79
Ag1 0.2530 0.2530 0.2530  3 Al 2.76, 6 Ag 2.79, 3 Mo 2.90
Ag2 0.7470 0.7470 0.7470  3 Al 2.76, 6 Ag 2.79, 3 Mo 2.90
Mo1 0.5000 0.5000 0.5000  6 Mo 2.79, 6 Ag 2.90

# 10
A geometry-optimized Ta4Se8SI8 structure, computed with GGA-PBEsol.

Values from the calculation:
SG ... Pna2_1 (33)
Formation energy (no corrections) ... -0.56 eV/atom
Calculated density ... 5814 kg/m3

Lattice parameters (Å, degrees): 14.4748 14.1648 13.3890 90.00 90.00 90.00
Last column: nearest neighbours and their distance in Å.
Atoms (fractional coordinates):
Ta1 0.1802 0.2118 0.1753  1 S 2.43, 4 Se 2.61-2.65, 1 I 2.71
Ta2 0.1841 0.0042 0.2836  1 S 2.42, 4 Se 2.63-2.65, 1 I 2.71
Ta3 0.1994 0.3103 0.3932  1 S 2.41, 4 Se 2.61-2.64
Ta4 0.2049 0.1066 0.5000  1 S 2.42, 4 Se 2.62-2.65
Ta5 0.2951 0.6066 0.0000  1 S 2.42, 4 Se 2.62-2.65
Ta6 0.3006 0.8103 0.8932  1 S 2.41, 4 Se 2.61-2.64
Ta7 0.3159 0.5042 0.7836  1 S 2.42, 4 Se 2.63-2.65, 1 I 2.71
Ta8 0.3198 0.7118 0.6753  1 S 2.43, 4 Se 2.61-2.65, 1 I 2.71
Ta9 0.6802 0.2882 0.1753  1 S 2.43, 4 Se 2.61-2.65, 1 I 2.71
Ta10 0.6841 0.4958 0.2836  1 S 2.42, 4 Se 2.63-2.65, 1 I 2.71
Ta11 0.6994 0.1897 0.3932  1 S 2.41, 4 Se 2.61-2.64
Ta12 0.7049 0.3934 0.5000  1 S 2.42, 4 Se 2.62-2.65
Ta13 0.7951 0.8934 0.0000  1 S 2.42, 4 Se 2.62-2.65
Ta14 0.8006 0.6897 0.8932  1 S 2.41, 4 Se 2.61-2.64
Ta15 0.8159 0.9958 0.7836  1 S 2.42, 4 Se 2.63-2.65, 1 I 2.71
Ta16 0.8198 0.7882 0.6753  1 S 2.43, 4 Se 2.61-2.65, 1 I 2.71
Se1 0.0474 0.0879 0.1897  1 Se 2.40, 2 Ta 2.61-2.63
Se2 0.0581 0.3141 0.2722  1 Se 2.38, 2 Ta 2.61-2.63
Se3 0.0672 0.0032 0.4348  1 Se 2.37, 2 Ta 2.62-2.64
Se4 0.0772 0.2384 0.5144  1 Se 2.38, 2 Ta 2.61-2.63
Se5 0.1775 0.0428 0.0899  1 Se 2.40, 2 Ta 2.65
Se6 0.1935 0.3944 0.2175  1 Se 2.38, 2 Ta 2.64-2.65
Se7 0.2097 0.9238 0.4588  1 Se 2.37, 2 Ta 2.63-2.65
Se8 0.2244 0.2739 0.5842  1 Se 2.38, 2 Ta 2.63-2.64
Se9 0.2756 0.7739 0.0842  1 Se 2.38, 2 Ta 2.63-2.64
Se10 0.2903 0.4238 0.9588  1 Se 2.37, 2 Ta 2.63-2.65
Se11 0.3065 0.8944 0.7175  1 Se 2.38, 2 Ta 2.64-2.65
Se12 0.3225 0.5428 0.5899  1 Se 2.40, 2 Ta 2.65
Se13 0.4228 0.7384 0.0144  1 Se 2.38, 2 Ta 2.61-2.63
Se14 0.4328 0.5032 0.9348  1 Se 2.37, 2 Ta 2.62-2.64
Se15 0.4419 0.8141 0.7722  1 Se 2.38, 2 Ta 2.61-2.63
Se16 0.4526 0.5879 0.6897  1 Se 2.40, 2 Ta 2.61-2.63
Se17 0.5474 0.4121 0.1897  1 Se 2.40, 2 Ta 2.61-2.63
Se18 0.5581 0.1859 0.2722  1 Se 2.38, 2 Ta 2.61-2.63
Se19 0.5672 0.4968 0.4348  1 Se 2.37, 2 Ta 2.62-2.64
Se20 0.5772 0.2616 0.5144  1 Se 2.38, 2 Ta 2.61-2.63
Se21 0.6775 0.4572 0.0899  1 Se 2.40, 2 Ta 2.65
Se22 0.6935 0.1056 0.2175  1 Se 2.38, 2 Ta 2.64-2.65
Se23 0.7097 0.5762 0.4588  1 Se 2.37, 2 Ta 2.63-2.65
Se24 0.7244 0.2261 0.5842  1 Se 2.38, 2 Ta 2.63-2.64
Se25 0.7756 0.7261 0.0842  1 Se 2.38, 2 Ta 2.63-2.64
Se26 0.7903 0.0762 0.9588  1 Se 2.37, 2 Ta 2.63-2.65
Se27 0.8065 0.6056 0.7175  1 Se 2.38, 2 Ta 2.64-2.65
Se28 0.8225 0.9572 0.5899  1 Se 2.40, 2 Ta 2.65
Se29 0.9228 0.7616 0.0144  1 Se 2.38, 2 Ta 2.61-2.63
Se30 0.9328 0.9968 0.9348  1 Se 2.37, 2 Ta 2.62-2.64
Se31 0.9419 0.6859 0.7722  1 Se 2.38, 2 Ta 2.61-2.63
Se32 0.9526 0.9121 0.6897  1 Se 2.40, 2 Ta 2.61-2.63
S1 0.2446 0.1566 0.3327  4 Ta 2.41-2.43
S2 0.2554 0.6566 0.8327  4 Ta 2.41-2.43
S3 0.7446 0.3434 0.3327  4 Ta 2.41-2.43
S4 0.7554 0.8434 0.8327  4 Ta 2.41-2.43
I1 0.1045 0.8338 0.2282  1 Ta 2.78
I2 0.1072 0.2755 0.9976  1 Ta 2.76
I3 0.1109 0.5845 0.0317  1 Ta 2.72
I4 0.1117 0.8474 0.8884  1 Ta 2.79
I5 0.1373 0.4552 0.7533  1 Ta 2.71
I6 0.1419 0.7221 0.6131  1 Ta 2.71
I7 0.1505 0.4899 0.4574  1 Ta 2.78
I8 0.1546 0.0543 0.6918  1 Ta 2.77
I9 0.3454 0.5543 0.1918  1 Ta 2.77
I10 0.3495 0.9899 0.9574  1 Ta 2.78
I11 0.3581 0.2221 0.1131  1 Ta 2.71
I12 0.3627 0.9552 0.2533  1 Ta 2.71
I13 0.3883 0.3474 0.3884  1 Ta 2.79
I14 0.3891 0.0845 0.5317  1 Ta 2.72
I15 0.3928 0.7755 0.4976  1 Ta 2.76
I16 0.3955 0.3338 0.7282  1 Ta 2.78
I17 0.6045 0.6662 0.2282  1 Ta 2.78
I18 0.6072 0.2245 0.9976  1 Ta 2.76
I19 0.6109 0.9155 0.0317  1 Ta 2.72
I20 0.6117 0.6526 0.8884  1 Ta 2.79
I21 0.6373 0.0448 0.7533  1 Ta 2.71
I22 0.6419 0.7779 0.6131  1 Ta 2.71
I23 0.6505 0.0101 0.4574  1 Ta 2.78
I24 0.6546 0.4457 0.6918  1 Ta 2.77
I25 0.8454 0.9457 0.1918  1 Ta 2.77
I26 0.8495 0.5101 0.9574  1 Ta 2.78
I27 0.8581 0.2779 0.1131  1 Ta 2.71
I28 0.8627 0.5448 0.2533  1 Ta 2.71
I29 0.8883 0.1526 0.3884  1 Ta 2.79
I30 0.8891 0.4155 0.5317  1 Ta 2.72
I31 0.8928 0.7245 0.4976  1 Ta 2.76
I32 0.8955 0.1662 0.7282  1 Ta 2.78

# 11
A geometry-optimized CrSi4Mo structure, computed with GGA-PBEsol.

Values from the calculation:
SG ... F-43m (216)
Formation energy (no corrections) ... 0.30 eV/atom
Calculated density ... 5700 kg/m3
D(E_F) ... 4.1 states/eV/f.u.

Lattice parameters (Å, degrees): 4.7509 4.7509 4.7509 60.00 60.00 60.00
Last column: nearest neighbours and their distance in Å.
Atoms (fractional coordinates):
Cr1 0.0000 0.0000 0.0000  12 Si 2.79, 4 Mo 2.91
Si1 0.1247 0.6251 0.6251  6 Si 2.37-2.38
Si2 0.6251 0.1247 0.6251  6 Si 2.37-2.38
Si3 0.6251 0.6251 0.1247  6 Si 2.37-2.38
Si4 0.6251 0.6251 0.6251  6 Si 2.37-2.38
Mo1 0.2500 0.2500 0.2500  12 Si 2.79, 4 Cr 2.91

# 12
A geometry-optimized ZrFeAs4 structure, computed with GGA-PBEsol.

Values from the calculation:
Formation enthalpy at 0 K ... 380 meV per atom
SG ... F-43m (216)
Calculated density ... 6807 kg/m3
D(E_F) ... 4.6 states/eV/f.u.

Lattice parameters (Å, degrees): 5.3615 5.3615 5.3615 60.00 60.00 60.00
Last column: nearest neighbours and their distance in Å.
Atoms (fractional coordinates):
Zr1 0.0000 0.0000 0.0000  12 As 3.14, 4 Fe 3.28
Fe1 0.2500 0.2500 0.2500  12 As 3.14, 4 Zr 3.28
As1 0.1265 0.6245 0.6245  6 As 2.67-2.69
As2 0.6245 0.1265 0.6245  6 As 2.67-2.69
As3 0.6245 0.6245 0.1265  6 As 2.67-2.69
As4 0.6245 0.6245 0.6245  6 As 2.67-2.69